Computed, not measured: a geometry-optimized AgMoPt2 structure at the PBE-GGA level of DFT.

Summary:
V	65.2	Å³ per cell
energy of formation	0.802	eV/f.u.
excess energy over the best structure of this formula in the dataset	425.8	meV/atom
symmetry	No. 123
calculated total energy	-6.241	eV/atom

a b c (Å): 3.9174 4.0810 4.0810
angles (deg): 90.00 90.00 90.00
With the nearest neighbours (Å) after each atom.
Fractional coordinates of all 4 atoms:
Mo  0.5000  0.0000  0.5000  8 Pt 2.83, 4 Ag 2.89
Pt  0.0000  0.5000  0.5000  4 Mo 2.83, 4 Ag 2.83, 4 Pt 2.89
Pt  0.0000  0.0000  0.0000  4 Mo 2.83, 4 Ag 2.83, 4 Pt 2.89
Ag  0.5000  0.5000  0.0000  8 Pt 2.83, 4 Mo 2.89

=====

Computed, not measured: a geometry-optimized AgMo2Pt structure at the PBE-GGA level of DFT.

Summary:
V	64.9	Å³ per cell
energy of formation	1.382	eV/f.u.
excess energy over the best structure of this formula in the dataset	269.1	meV/atom
symmetry	No. 216
calculated total energy	-7.293	eV/atom

a b c (Å): 4.5101 4.5101 4.5101
angles (deg): 60.00 60.00 60.00
With the nearest neighbours (Å) after each atom.
Fractional coordinates of all 4 atoms:
Pt  0.2500  0.2500  0.2500  4 Mo 2.76, 4 Ag 2.76
Mo  0.7500  0.7500  0.7500  4 Ag 2.76, 4 Mo 2.76
Ag  0.5000  0.5000  0.5000  4 Mo 2.76, 4 Pt 2.76
Mo  0.0000  0.0000  0.0000  4 Mo 2.76, 4 Pt 2.76

=====

Computed, not measured: a geometry-optimized AgMoPt2 structure at the PBE-GGA level of DFT.

Summary:
V	63.7	Å³ per cell
energy of formation	-0.393	eV/f.u.
excess energy over the best structure of this formula in the dataset	127.1	meV/atom
symmetry	No. 10
calculated total energy	-6.539	eV/atom

a b c (Å): 3.9689 2.8074 6.3675
angles (deg): 63.93 90.00 90.00
With the nearest neighbours (Å) after each atom.
Fractional coordinates of all 4 atoms:
Mo  0.5000  0.7500  0.7500  8 Pt 2.78, 2 Mo 2.81, 2 Ag 2.86
Ag  0.5000  0.2500  0.2500  2 Ag 2.81, 8 Pt 2.86, 2 Mo 2.86
Pt  0.0000  0.0139  0.9862  4 Pt 2.70-3.02, 4 Mo 2.78, 4 Ag 2.86
Pt  0.0000  0.4861  0.5138  4 Pt 2.70-3.02, 4 Mo 2.78, 4 Ag 2.86

=====

- The highest V belongs to which entry?
  number 1

=====

- Which value of V does entry 1 give?
  65.2 Å³ per cell

=====

- Look up the excess energy over the best structure of this formula in the dataset of the second one.
  269.1 meV/atom